# 1
Entry from Alexandria: a geometry-optimized CuAs3Au structure (PBE).

Computed properties:
**Energy of formation from the pure elements**: 0.687 eV per atom
**Magnetization**: 0.0 Bohr magnetons per cell
**Polymorph energy (0 for the lowest one)**: 0 meV per atom
**Space-group type**: Pm-3m

Lattice parameters (Å, degrees): 4.6983 4.6983 4.6983 90.00 90.00 90.00
Closest atoms and distances in Å follow each position.
Positions (direct):
Au (0.5000, 0.5000, 0.5000)  12 As 3.32
Cu (0.0000, 0.0000, 0.0000)  6 As 2.35
As (0.5000, 0.0000, 0.0000)  2 Cu 2.35
As (0.0000, 0.5000, 0.0000)  2 Cu 2.35
As (0.0000, 0.0000, 0.5000)  2 Cu 2.35

***

# 2
Entry from Alexandria: a geometry-optimized Cu3AsAu structure (PBE).

Computed properties:
**Energy of formation from the pure elements**: 0.400 eV per atom
**Magnetization**: 0.0 Bohr magnetons per cell
**Polymorph energy (0 for the lowest one)**: 0 meV per atom
**Space-group type**: Pm-3m

Lattice parameters (Å, degrees): 4.4916 4.4916 4.4916 90.00 90.00 90.00
Closest atoms and distances in Å follow each position.
Positions (direct):
Cu (0.0000, 0.0000, 0.5000)  2 As 2.25
Cu (0.5000, 0.0000, 0.0000)  2 As 2.25
Cu (0.0000, 0.5000, 0.0000)  2 As 2.25
Au (0.5000, 0.5000, 0.5000)  12 Cu 3.18
As (0.0000, 0.0000, 0.0000)  6 Cu 2.25

***

# 3
Entry from Alexandria: a geometry-optimized CuAs2Au structure (PBE).

Computed properties:
**Energy of formation from the pure elements**: 0.113 eV per atom
**Magnetization**: 0.0 Bohr magnetons per cell
**Polymorph energy (0 for the lowest one)**: 2 meV per atom
**Space-group type**: Pm

Lattice parameters (Å, degrees): 3.7006 2.7678 7.6579 68.17 90.00 90.00
Closest atoms and distances in Å follow each position.
Positions (direct):
As (0.0000, 0.1917, 0.9343)  4 Cu 2.62-2.64, 2 As 2.77, 1 Au 2.85
Au (0.0000, 0.5904, 0.5332)  3 As 2.61-2.85, 2 Au 2.77, 4 Cu 2.80-2.82
As (0.5000, 0.8533, 0.2742)  2 Au 2.61, 2 As 2.77
Cu (0.5000, 0.8646, 0.7583)  4 As 2.62-2.64, 2 Cu 2.77, 4 Au 2.80-2.82

***

# 4
Entry from Alexandria: a geometry-optimized CuAs2Au structure (PBE).

Computed properties:
**Energy of formation from the pure elements**: 0.179 eV per atom
**Magnetization**: 0.0 Bohr magnetons per cell
**Polymorph energy (0 for the lowest one)**: 68 meV per atom
**Space-group type**: Pmm2

Lattice parameters (Å, degrees): 2.8184 3.6686 7.0729 90.00 90.00 90.00
Closest atoms and distances in Å follow each position.
Positions (direct):
Cu (0.5000, 0.5000, 0.7574)  4 As 2.59, 2 Cu 2.82, 4 Au 2.86
As (0.5000, 0.5000, 0.3000)  4 Au 2.78, 2 As 2.82
Au (0.0000, 0.0000, 0.5189)  5 As 2.78-2.86, 2 Au 2.82, 4 Cu 2.86
As (0.0000, 0.0000, 0.9237)  4 Cu 2.59, 2 As 2.82, 1 Au 2.86